1.
# CoRe2Cl

An optimized crystal structure of CoRe2Cl (PBE, Alexandria).

Symmetry: Pmmm, No. 47
Energy above the lowest structure with this stoichiometry: 0.181 eV/atom
Electronic total energy: -7.91 eV/atom
Formation energy (no corrections): 0.549 eV/atom

```
CoRe2Cl
1.0
2.800 0.000 0.000
0.000 3.350 0.000
0.000 0.000 6.621
Co Re Cl
1 2 1
direct
0.000 0.000 0.000
0.500 0.500 0.187
0.500 0.500 0.813
0.500 0.000 0.500
```


2.
# YCrSe2

An optimized crystal structure of YCrSe2 (PBE, Alexandria).

Symmetry: Cmmm, No. 65
Energy above the lowest structure with this stoichiometry: 0.322 eV/atom
Electronic total energy: -6.49 eV/atom
Formation energy (no corrections): -0.729 eV/atom

```
YCrSe2
1.0
2.228 -2.778 0.000
2.228 2.778 0.000
0.000 0.000 7.031
Y Cr Se
1 1 2
direct
0.000 0.000 0.000
0.000 0.000 0.500
0.500 0.500 0.257
0.500 0.500 0.743
```


3.
# Cu3Si

An optimized crystal structure of Cu3Si (PBE, Alexandria).

Symmetry: Immm, No. 71
Electronic total energy: -4.47 eV/atom
Formation energy (no corrections): -0.042 eV/atom

```
Cu3Si
1.0
-1.824 1.830 3.609
1.824 -1.830 3.609
1.824 1.830 -3.609
Cu Si
3 1
direct
0.000 0.000 0.000
0.250 0.750 0.500
0.750 0.250 0.500
0.500 0.500 0.000
```


4.
# DyCo6Sn6

An optimized crystal structure of DyCo6Sn6 (PBE, Alexandria).

Energy relative to the elements: -0.160 eV/atom
Symmetry: Immm, No. 71
Electronic total energy: -5.64 eV/atom

```
DyCo6Sn6
1.0
-2.692 4.292 4.651
2.692 -4.292 4.651
2.692 4.292 -4.651
Dy Co Sn
1 6 6
direct
0.000 0.000 0.000
0.000 0.000 0.500
0.000 0.500 0.000
0.248 0.500 0.748
0.500 0.000 0.000
0.500 0.500 0.500
0.752 0.500 0.252
0.169 0.669 0.500
0.335 0.000 0.335
0.336 0.336 0.000
0.664 0.664 0.000
0.665 0.000 0.665
0.831 0.331 0.500
```


5.
# TbNd6Ho2Tm

An optimized crystal structure of TbNd6Ho2Tm (PBE, Alexandria).

Energy relative to the elements: 0.116 eV/atom
Symmetry: C2/c, No. 15
Electronic total energy: -4.57 eV/atom

```
TbNd6Ho2Tm
1.0
4.633 -7.665 0.000
4.633 7.665 0.000
-1.202 0.000 9.542
Tb Nd Ho Tm
2 12 4 2
direct
0.028 0.972 0.750
0.972 0.028 0.250
0.008 0.564 0.689
0.118 0.763 0.054
0.237 0.882 0.446
0.292 0.511 0.883
0.436 0.992 0.811
0.489 0.708 0.617
0.511 0.292 0.383
0.564 0.008 0.189
0.708 0.489 0.117
0.763 0.118 0.554
0.882 0.237 0.946
0.992 0.436 0.311
0.202 0.300 0.546
0.300 0.202 0.046
0.700 0.798 0.954
0.798 0.700 0.454
0.412 0.588 0.250
0.588 0.412 0.750
```


6.
# PuHg2Pd

An optimized crystal structure of PuHg2Pd (PBE, Alexandria).

Energy relative to the elements: -0.183 eV/atom
Symmetry: P4/mmm, No. 123
Electronic total energy: -5.22 eV/atom

```
PuHg2Pd
1.0
3.433 0.000 0.000
0.000 3.433 0.000
0.000 0.000 7.420
Pu Hg Pd
1 2 1
direct
0.000 0.000 0.000
0.500 0.500 0.289
0.500 0.500 0.711
0.000 0.000 0.500
```


7.
# NdZnGa4Ni2

An optimized crystal structure of NdZnGa4Ni2 (PBE, Alexandria).

Energy relative to the elements: -0.351 eV/atom
Symmetry: R-3m, No. 166
Electronic total energy: -4.06 eV/atom

```
NdZnGa4Ni2
1.0
2.082 1.202 8.965
-2.082 1.202 8.965
0.000 -2.405 8.965
Nd Zn Ga Ni
1 1 4 2
direct
0.000 0.000 0.000
0.500 0.500 0.500
0.123 0.123 0.123
0.402 0.402 0.402
0.598 0.598 0.598
0.877 0.877 0.877
0.229 0.229 0.229
0.771 0.771 0.771
```


8.
# Li2Mg8Ni3

An optimized crystal structure of Li2Mg8Ni3 (PBE, Alexandria).

Energy relative to the elements: 0.038 eV/atom
Symmetry: P2/m, No. 10
Electronic total energy: -2.57 eV/atom

```
Li2Mg8Ni3
1.0
7.992 0.000 0.000
0.000 4.405 0.000
-3.231 0.000 7.352
Li Mg Ni
2 8 3
direct
0.241 0.000 0.259
0.759 0.000 0.741
0.113 0.500 0.388
0.148 0.000 0.867
0.367 0.000 0.649
0.391 0.500 0.107
0.609 0.500 0.893
0.633 0.000 0.351
0.852 0.000 0.133
0.887 0.500 0.612
0.000 0.000 0.500
0.239 0.500 0.739
0.761 0.500 0.261
```


9.
# CaCr2Tc

An optimized crystal structure of CaCr2Tc (PBE, Alexandria).

Energy relative to the elements: 0.678 eV/atom
Symmetry: Imm2, No. 44
Energy above the lowest structure with this stoichiometry: 0.220 eV/atom
Electronic total energy: -7.23 eV/atom

```
CaCr2Tc
1.0
-2.275 2.279 3.216
2.275 -2.279 3.216
2.275 2.279 -3.216
Ca Cr Tc
1 2 1
direct
0.000 0.000 0.000
0.250 0.750 0.500
0.500 0.500 0.000
0.750 0.250 0.500
```


10.
# CoTc2Ni2

An optimized crystal structure of CoTc2Ni2 (PBE, Alexandria).

Energy relative to the elements: 0.320 eV/atom
Symmetry: P4/mbm, No. 127
Energy above the lowest structure with this stoichiometry: 0.000 eV/atom
Electronic total energy: -7.56 eV/atom

```
CoTc2Ni2
1.0
7.000 0.000 0.000
0.000 7.000 0.000
0.000 0.000 2.641
Co Tc Ni
2 4 4
direct
0.000 0.000 0.000
0.500 0.500 0.000
0.179 0.321 0.500
0.321 0.821 0.500
0.679 0.179 0.500
0.821 0.679 0.500
0.119 0.619 0.000
0.381 0.119 0.000
0.619 0.881 0.000
0.881 0.381 0.000
```


11.
# Zr3GaSn

An optimized crystal structure of Zr3GaSn (PBE, Alexandria).

Energy relative to the elements: -0.196 eV/atom
Symmetry: P6_3/mmc, No. 194
Energy above the lowest structure with this stoichiometry: 0.000 eV/atom
Electronic total energy: -6.73 eV/atom

```
Zr3GaSn
1.0
6.904 0.000 0.000
-3.452 5.979 0.000
0.000 0.000 5.481
Zr Ga Sn
6 2 2
direct
0.189 0.377 0.250
0.189 0.811 0.250
0.377 0.189 0.750
0.623 0.811 0.250
0.811 0.189 0.750
0.811 0.623 0.750
0.000 0.000 0.000
0.000 0.000 0.500
0.333 0.667 0.750
0.667 0.333 0.250
```


12.
# CaLaPrCd

An optimized crystal structure of CaLaPrCd (PBE, Alexandria).

Energy relative to the elements: -0.146 eV/atom
Symmetry: P4mm, No. 99
Energy above the lowest structure with this stoichiometry: 0.000 eV/atom
Electronic total energy: -3.30 eV/atom

```
CaLaPrCd
1.0
3.743 0.000 0.000
0.000 3.743 0.000
0.000 0.000 9.639
Ca La Pr Cd
1 1 1 1
direct
0.000 0.000 0.000
0.000 0.000 0.567
0.500 0.500 0.298
0.500 0.500 0.792
```